{"formula": "CrMo2Pt", "functional": "PBE", "state": "relaxed", "cell": [[4.023, 0.000, 0.000], [0.000, 2.697, 0.008], [0.000, 1.985, 5.471]], "species": ["Mo", "Cr", "Pt", "Mo"], "fractional_positions": [[0.000, 0.938, 0.979], [0.500, 0.750, 0.750], [0.500, 0.250, 0.250], [0.000, 0.562, 0.521]], "formation_energy_ev_per_atom": -0.02, "de_polymorph_ev_per_fu": 0.14, "sg": "No. 10", "n_ef_per_ev_cell": 4.0, "e_tot_ev_per_atom": -9.349}